Computed, not measured: a relaxed structure of Y2Zn2SnPt5 at the PBE level of DFT.

As for the total energy: -5.80 eV/atom. As for the density: 12.8 g/cm3.

```
Y2Zn2SnPt5
1.0
9.6962 0.0000 0.0000
0.0000 9.6962 0.0000
0.0000 0.0000 3.8573
Y Zn Sn Pt
4 4 2 10
direct
0.1766 0.3234 0.0000
0.3234 0.8234 0.0000
0.6766 0.1766 0.0000
0.8234 0.6766 0.0000
0.1199 0.6199 0.0000
0.3801 0.1199 0.0000
0.6199 0.8801 0.0000
0.8801 0.3801 0.0000
0.0000 0.0000 0.0000
0.5000 0.5000 0.0000
0.0000 0.5000 0.5000
0.0674 0.7916 0.5000
0.2084 0.0674 0.5000
0.2916 0.5674 0.5000
0.4326 0.2916 0.5000
0.5000 0.0000 0.5000
0.5674 0.7084 0.5000
0.7084 0.4326 0.5000
0.7916 0.9326 0.5000
0.9326 0.2084 0.5000
```